# Ba2SrCa

A relaxed Ba2SrCa crystal (PBE, Alexandria via LeMat-Bulk).

E = -1.858 eV per atom
magnetic moment = 0.0000 μB per atom
E_form = 2 kJ per mole of atoms
Fermi-level density of states = 1.18 states/eV per atom

a b c (Å): 4.151 6.676 8.077
angles (deg): 90.00 101.73 90.00
Fractional coordinates of all 4 atoms:
Ba 0.247 0.000 0.255
Ba 0.753 0.000 0.745
Sr 0.500 0.500 0.000
Ca 0.000 0.500 0.500